# NdGdYSc (PBE, relaxed)
data_NdGdYSc
_chemical_formula_sum 'Nd4 Gd4 Y4 Sc4'
_space_group_name_H-M_alt 'F -4 3 m'
_space_group_IT_number 216
_space_group_name_Hall 'F -4 2 3'
_cell_length_a 7.922
_cell_length_b 7.922
_cell_length_c 7.922
_cell_angle_alpha 90.00
_cell_angle_beta 90.00
_cell_angle_gamma 90.00
loop_
_atom_site_label
_atom_site_type_symbol
_atom_site_fract_x
_atom_site_fract_y
_atom_site_fract_z
Nd1 Nd 0.000 0.000 0.000
Gd1 Gd 0.000 0.000 0.500
Y1 Y 0.250 0.250 0.250
Sc1 Sc 0.250 0.250 0.750
# E	-124.972	eV/cell
# total moment	7.4	μB/f.u.
# D(E_F)	26.7	states/eV/cell